This record from Alexandria describes a relaxed structure of Ga5CuRu4. The functional is PBE.

Energy of formation from the pure elements in eV/atom: -0.263
Energy in eV/atom: -5.8962
Space-group type: P4/mmm (123)

abc: 3.080 3.080 14.687
angles: 90.00 90.00 90.00
Fractional coordinates of all 10 atoms:
1 Ga 0.000 0.000 0.000
2 Ga 0.000 0.000 0.203
3 Ga 0.000 0.000 0.399
4 Ga 0.000 0.000 0.601
5 Ga 0.000 0.000 0.797
6 Cu 0.500 0.500 0.500
7 Ru 0.500 0.500 0.101
8 Ru 0.500 0.500 0.308
9 Ru 0.500 0.500 0.692
10 Ru 0.500 0.500 0.899

=====

This record from Alexandria describes a relaxed structure of GaCu3Ru. The functional is PBE.

Energy of formation from the pure elements in eV/atom: 1.173
Energy in eV/atom: -3.7455
Excess energy over the best structure of this formula in the dataset in meV/atom: 152.3
Space-group type: Pm-3m (221)

abc: 4.600 4.600 4.600
angles: 90.00 90.00 90.00
Fractional coordinates of all 5 atoms:
1 Ga 0.000 0.000 0.000
2 Cu 0.000 0.500 0.500
3 Cu 0.500 0.000 0.500
4 Cu 0.500 0.500 0.000
5 Ru 0.500 0.500 0.500

=====

The lowest energy belongs to which entry?
Ga5CuRu4

=====

Copy entry 2 word for word.
This record from Alexandria describes a relaxed structure of GaCu3Ru. The functional is PBE.

Energy of formation from the pure elements in eV/atom: 1.173
Energy in eV/atom: -3.7455
Excess energy over the best structure of this formula in the dataset in meV/atom: 152.3
Space-group type: Pm-3m (221)

abc: 4.600 4.600 4.600
angles: 90.00 90.00 90.00
Fractional coordinates of all 5 atoms:
1 Ga 0.000 0.000 0.000
2 Cu 0.000 0.500 0.500
3 Cu 0.500 0.000 0.500
4 Cu 0.500 0.500 0.000
5 Ru 0.500 0.500 0.500

=====

Which formula does entry 1 have?
Ga5CuRu4

=====

Which formula does entry 1 have?
Ga5CuRu4